DFT (GGA-PBE) results for a geometry-optimized CeSm6Tm12 structure.

Properties
Size of the total moment in μB/atom: 0.02
Formation energy from the elements in meV per atom: 219
Fermi-level density of states in states/eV/f.u.: 32.53

a b c (Å): 8.6358 8.6358 8.6358
angles (deg): 99.01 99.01 99.01
Fractional positions:
Ce 0.0000 0.0000 0.0000
Sm 0.1007 0.1007 0.6578
Sm 0.1007 0.6578 0.1007
Sm 0.3422 0.8993 0.8993
Sm 0.6578 0.1007 0.1007
Sm 0.8993 0.3422 0.8993
Sm 0.8993 0.8993 0.3422
Tm 0.0795 0.3523 0.3523
Tm 0.2439 0.5000 0.7561
Tm 0.2439 0.7561 0.5000
Tm 0.3523 0.0795 0.3523
Tm 0.3523 0.3523 0.0795
Tm 0.5000 0.2439 0.7561
Tm 0.5000 0.7561 0.2439
Tm 0.6477 0.6477 0.9205
Tm 0.6477 0.9205 0.6477
Tm 0.7561 0.2439 0.5000
Tm 0.7561 0.5000 0.2439
Tm 0.9205 0.6477 0.6477